Tl2HgSbCl6 | PBE | optimized geometry

As for the density of states at the Fermi level: 0.316 states/eV/atom. The value obtained for the energy relative to the elements, uncorrected is -8.03 eV per formula unit. The value obtained for the uncorrected energy is -2.83 eV per atom.

It has space group R3 (No. 146, hexagonal axes), with a = 7.6726 Å, b = 7.6726 Å, c = 19.5681 Å, α = 90.00°, β = 90.00° and γ = 120.00°. The asymmetric unit holds Tl at (0.0000, 0.0000, 0.0000), Tl at (0.0000, 0.0000, 0.4968), Hg at (0.0000, 0.0000, 0.2848), Sb at (0.0000, 0.0000, 0.7878), Cl at (0.0280, 0.5936, 0.5372) and Cl at (0.0966, 0.3471, 0.3789).